No. 1
Compound: K2Cr2WS6
Source: the Alexandria database
Functional: PBE-GGA
Structure: relaxed

abc: 6.048 10.467 7.778
angles: 90.00 104.71 90.00
Space group C2/m (No. 12)
One atom of each set of equivalent atoms:
K1 0.000 0.165 0.000 (multiplicity 4)
Cr1 0.000 0.333 0.500 (multiplicity 4)
W1 0.000 0.000 0.500 (multiplicity 2)
S1 0.218 0.500 0.681 (multiplicity 4)
S2 0.230 0.168 0.681 (multiplicity 8)

Properties
* N(E_F): 0.450 states/eV/atom
* VASP energy: -0.4540 Ry per atom



No. 2
Compound: InSiRu2
Source: the Alexandria database
Functional: PBE-GGA
Structure: relaxed

abc: 5.860 8.265 2.936
angles: 90.00 117.33 90.00
Space group C2/m (No. 12)
One atom of each set of equivalent atoms:
In1 0.000 0.000 0.000 (multiplicity 2)
Si1 0.000 0.500 0.000 (multiplicity 2)
Ru1 0.250 0.250 0.500 (multiplicity 4)

Properties
* N(E_F): 0.752 states/eV/atom
* VASP energy: -0.4756 Ry per atom



No. 3
Compound: ZnCl3
Source: the Alexandria database
Functional: PBE-GGA
Structure: relaxed

abc: 4.870 4.870 4.870
angles: 90.00 90.00 90.00
Space group Pm-3m (No. 221)
One atom of each set of equivalent atoms:
Zn1 0.000 0.000 0.000 (multiplicity 1)
Cl1 0.000 0.000 0.500 (multiplicity 3)

Properties
* N(E_F): 1.651 states/eV/atom
* VASP energy: -0.1590 Ry per atom



No. 4
Compound: Al2AsSe
Source: the Alexandria database
Functional: PBE-GGA
Structure: relaxed

abc: 5.841 5.841 11.619
angles: 90.00 90.00 90.00
Space group I-42d (No. 122)
One atom of each set of equivalent atoms:
Al1 0.236 0.250 0.125 (multiplicity 8)
As1 0.000 0.000 0.000 (multiplicity 4)
Se1 0.000 0.000 0.500 (multiplicity 4)

Properties
* distance to the lowest polymorph of the same formula: 89.5 meV per atom
* N(E_F): 0.632 states/eV/atom



No. 5
Compound: B2Pt2Rh
Source: the Alexandria database
Functional: PBE-GGA
Structure: relaxed

abc: 5.377 5.399 5.446
angles: 82.87 60.79 76.23
Space group P-1 (No. 2)
One atom of each set of equivalent atoms:
B1 0.126 0.000 0.234 (multiplicity 2)
B2 0.348 0.500 0.784 (multiplicity 2)
Pt1 0.337 0.828 0.498 (multiplicity 2)
Pt2 0.486 0.249 0.064 (multiplicity 2)
Rh1 0.043 0.248 0.946 (multiplicity 2)

Properties
* distance to the lowest polymorph of the same formula: 0.0 meV per atom
* N(E_F): 0.319 states/eV/atom
* ΔE_f: -0.1829 eV per atom



No. 6
Compound: Ta2AgBr8
Source: the Alexandria database
Functional: PBE-GGA
Structure: relaxed

abc: 13.266 10.149 7.182
angles: 90.00 95.02 90.00
Space group C2/m (No. 12)
One atom of each set of equivalent atoms:
Ta1 0.213 0.000 0.153 (multiplicity 4)
Ag1 0.000 0.000 0.500 (multiplicity 2)
Br1 0.110 0.500 0.730 (multiplicity 4)
Br2 0.115 0.178 0.291 (multiplicity 8)
Br3 0.192 0.000 0.812 (multiplicity 4)

Properties
* N(E_F): 0.850 states/eV/atom
* VASP energy: -0.3053 Ry per atom



No. 7
Compound: K2Na2PuSe4
Source: the Alexandria database
Functional: PBE-GGA
Structure: relaxed

abc: 17.035 4.452 8.719
angles: 90.00 120.50 90.00
Space group C2/m (No. 12)
One atom of each set of equivalent atoms:
K1 0.161 0.000 0.034 (multiplicity 4)
Na1 0.169 0.500 0.447 (multiplicity 4)
Pu1 0.000 0.000 0.500 (multiplicity 2)
Se1 0.021 0.500 0.730 (multiplicity 4)
Se2 0.197 0.000 0.673 (multiplicity 4)

Properties
* N(E_F): 1.248 states/eV/atom
* VASP energy: -0.3554 Ry per atom



No. 8
Compound: Sm4AlCo
Source: the Alexandria database
Functional: PBE-GGA
Structure: relaxed

abc: 8.738 13.791 5.975
angles: 90.00 115.22 90.00
Space group C2/c (No. 15)
One atom of each set of equivalent atoms:
Sm1 0.117 0.182 0.077 (multiplicity 8)
Sm2 0.224 0.433 0.339 (multiplicity 8)
Al1 0.000 0.376 0.750 (multiplicity 4)
Co1 0.000 0.001 0.250 (multiplicity 4)

Properties
* distance to the lowest polymorph of the same formula: 83.4 meV per atom
* N(E_F): 1.039 states/eV/atom
* ΔE_f: -0.1344 eV per atom



No. 9
Compound: CsCuSb3
Source: the Alexandria database
Functional: PBE-GGA
Structure: relaxed

abc: 5.365 5.365 5.365
angles: 90.00 90.00 90.00
Space group Pm-3m (No. 221)
One atom of each set of equivalent atoms:
Cs1 0.000 0.000 0.000 (multiplicity 1)
Cu1 0.500 0.500 0.500 (multiplicity 1)
Sb1 0.000 0.500 0.500 (multiplicity 3)

Properties
* distance to the lowest polymorph of the same formula: 0.0 meV per atom
* N(E_F): 0.599 states/eV/atom



No. 10
Compound: CdPtCl2
Source: the Alexandria database
Functional: PBE-GGA
Structure: relaxed

abc: 6.762 6.762 6.762
angles: 90.00 90.00 90.00
Space group Fm-3m (No. 225)
One atom of each set of equivalent atoms:
Cd1 0.000 0.000 0.000 (multiplicity 4)
Pt1 0.000 0.000 0.500 (multiplicity 4)
Cl1 0.250 0.250 0.250 (multiplicity 8)

Properties
* distance to the lowest polymorph of the same formula: 642.7 meV per atom
* N(E_F): 0.287 states/eV/atom



No. 11
Compound: PmThPa2P4
Source: the Alexandria database
Functional: PBE-GGA
Structure: relaxed

abc: 7.008 4.051 7.014
angles: 90.00 109.51 90.00
Space group P2/m (No. 10)
One atom of each set of equivalent atoms:
Pm1 0.000 0.000 0.000 (multiplicity 1)
Th1 0.000 0.500 0.500 (multiplicity 1)
Pa1 0.500 0.000 0.500 (multiplicity 1)
Pa2 0.500 0.500 0.000 (multiplicity 1)
P1 0.263 0.000 0.755 (multiplicity 2)
P2 0.264 0.500 0.254 (multiplicity 2)

Properties
* N(E_F): 0.846 states/eV/atom
* ΔE_f: -1.4322 eV per atom



No. 12
Compound: Cs2HgHAu
Source: the Alexandria database
Functional: PBE-GGA
Structure: relaxed

abc: 6.646 6.646 3.818
angles: 90.00 90.00 90.00
Space group P4/mmm (No. 123)
One atom of each set of equivalent atoms:
Cs1 0.000 0.500 0.000 (multiplicity 2)
Hg1 0.000 0.000 0.500 (multiplicity 1)
H1 0.500 0.500 0.000 (multiplicity 1)
Au1 0.500 0.500 0.500 (multiplicity 1)

Properties
* distance to the lowest polymorph of the same formula: 36.4 meV per atom
* N(E_F): 0.616 states/eV/atom



Repeat the eleventh record exactly.
Compound: PmThPa2P4
Source: the Alexandria database
Functional: PBE-GGA
Structure: relaxed

abc: 7.008 4.051 7.014
angles: 90.00 109.51 90.00
Space group P2/m (No. 10)
One atom of each set of equivalent atoms:
Pm1 0.000 0.000 0.000 (multiplicity 1)
Th1 0.000 0.500 0.500 (multiplicity 1)
Pa1 0.500 0.000 0.500 (multiplicity 1)
Pa2 0.500 0.500 0.000 (multiplicity 1)
P1 0.263 0.000 0.755 (multiplicity 2)
P2 0.264 0.500 0.254 (multiplicity 2)

Properties
* N(E_F): 0.846 states/eV/atom
* ΔE_f: -1.4322 eV per atom